[1]
DFT (PBE) results for a relaxed structure of SrMo2PAu.

Calculated values
Its total energy is -3.712 eV per atom.

Cell lengths 4.852, 4.852, 5.103 Å; angles 90.00, 90.00, 90.00 degrees
Space group P4/mmm (No. 123)
Unique sites:
Sr  0.000  0.000  0.000 x1
Mo  0.000  0.500  0.000 x2
P  0.000  0.000  0.500 x1
Au  0.500  0.500  0.500 x1

=====

[2]
DFT (PBE) results for a relaxed structure of CrBPd3.

Calculated values
Its total energy is -4.664 eV per atom.

Cell lengths 4.548, 4.548, 4.548 Å; angles 90.00, 90.00, 90.00 degrees
Space group Pm-3m (No. 221)
Unique sites:
Cr  0.000  0.000  0.000 x1
B  0.500  0.500  0.500 x1
Pd  0.000  0.000  0.500 x3

=====

[3]
DFT (PBE) results for a relaxed structure of SrCu2Hg.

Calculated values
Its total energy is -2.513 eV per atom.

Cell lengths 6.977, 6.977, 6.977 Å; angles 90.00, 90.00, 90.00 degrees
Space group Fm-3m (No. 225)
Unique sites:
Sr  0.000  0.000  0.000 x4
Cu  0.250  0.250  0.250 x8
Hg  0.000  0.000  0.500 x4

=====

[4]
DFT (PBE) results for a relaxed structure of EuGa4Hg.

Calculated values
Its total energy is -4.001 eV per atom.

Cell lengths 8.064, 8.064, 8.064 Å; angles 90.00, 90.00, 90.00 degrees
Space group F-43m (No. 216)
Unique sites:
Eu  0.000  0.000  0.000 x4
Ga  0.125  0.125  0.375 x16
Hg  0.250  0.250  0.750 x4

=====

[5]
DFT (PBE) results for a relaxed structure of Sm4Ho8Er3.

Calculated values
Its total energy is -4.230 eV per atom.

Cell lengths 13.331, 12.790, 6.715 Å; angles 90.00, 120.07, 90.00 degrees
Space group C2/m (No. 12)
Unique sites:
Sm  0.000  0.000  0.000 x2
Sm  0.000  0.000  0.500 x2
Sm  0.250  0.250  0.000 x4
Ho  0.000  0.254  0.000 x4
Ho  0.000  0.362  0.500 x4
Ho  0.230  0.500  0.964 x4
Ho  0.233  0.500  0.488 x4
Er  0.000  0.500  0.000 x2
Er  0.250  0.250  0.500 x4

=====

[6]
DFT (PBE) results for a relaxed structure of LiPF2.

Calculated values
Its total energy is -4.045 eV per atom. The uncorrected formation energy is -1.28 eV per atom.

Cell lengths 5.062, 5.062, 8.021 Å; angles 90.00, 90.00, 90.00 degrees
Space group I-42d (No. 122)
Unique sites:
Li  0.000  0.000  0.000 x4
P  0.000  0.000  0.500 x4
F  0.165  0.250  0.125 x8

=====

[7]
DFT (PBE) results for a relaxed structure of SrGa2GePd.

Calculated values
Its total energy is -4.077 eV per atom.

Cell lengths 4.273, 4.417, 10.935 Å; angles 90.00, 90.00, 90.00 degrees
Space group Imm2 (No. 44)
Unique sites:
Sr  0.000  0.000  0.000 x2
Ga  0.000  0.000  0.379 x2
Ga  0.000  0.500  0.252 x2
Ge  0.000  0.000  0.617 x2
Pd  0.000  0.500  0.745 x2

=====

[8]
DFT (PBE) results for a relaxed structure of YIn3Re.

Calculated values
Its total energy is -5.070 eV per atom.

Cell lengths 5.160, 5.160, 5.160 Å; angles 90.00, 90.00, 90.00 degrees
Space group Pm-3m (No. 221)
Unique sites:
Y  0.000  0.000  0.000 x1
In  0.000  0.500  0.500 x3
Re  0.500  0.500  0.500 x1